# 1
A plane-wave DFT calculation with meta-GGA SCAN was carried out for a PBEsol-optimized structure of Pr3Y.

The structure belongs to space group I4/mmm (No. 139); the cell edges are 5.092, 5.092 and 10.167 Å and the angles 90.00°, 90.00° and 90.00°. The inequivalent atoms are Pr at (0.000, 0.000, 0.000), Pr at (0.000, 0.500, 0.250) and Y at (0.000, 0.000, 0.500).

As for the distance to the lowest polymorph of the same formula: 0.0042 eV per atom. The calculation puts the formation energy from the elements at 0.378 kcal/mol of atoms. For the density of states at the Fermi level, the calculation gives 1.3954 states/eV per atom.

***

# 2
A plane-wave DFT calculation with meta-GGA SCAN was carried out for a PBEsol-optimized structure of SrTa2Ag.

The structure belongs to space group Cm (No. 8); the cell edges are 9.802, 2.947 and 6.263 Å and the angles 90.00°, 98.75° and 90.00°. The inequivalent atoms are Sr at (0.000, 0.000, 0.000), Ta at (0.019, 0.500, 0.479), Ta at (0.282, 0.500, 0.377) and Ag at (0.239, 0.000, 0.751).

As for the distance to the lowest polymorph of the same formula: 0.0005 eV per atom. The calculation puts the formation energy from the elements at 15.865 kcal/mol of atoms. For the density of states at the Fermi level, the calculation gives 1.0495 states/eV per atom.

***

# 3
A plane-wave DFT calculation with meta-GGA SCAN was carried out for a PBEsol-optimized structure of CaWO2.

The structure belongs to space group Fm-3m (No. 225); the cell edges are 5.542, 5.542 and 5.542 Å and the angles 90.00°, 90.00° and 90.00°. The inequivalent atoms are Ca at (0.000, 0.000, 0.000), W at (0.000, 0.000, 0.500) and O at (0.250, 0.250, 0.250).

The raw formation energy comes out at -984.3 meV/atom.

***

# 4
A plane-wave DFT calculation with meta-GGA SCAN was carried out for a PBEsol-optimized structure of SrTc2F.

The structure belongs to space group Fm-3m (No. 225); the cell edges are 6.550, 6.550 and 6.550 Å and the angles 90.00°, 90.00° and 90.00°. The inequivalent atoms are Sr at (0.000, 0.000, 0.000), Tc at (0.250, 0.250, 0.250) and F at (0.000, 0.000, 0.500).

The raw formation energy comes out at 1294.5 meV/atom. For the density of states at the Fermi level, the calculation gives 1.0339 states/eV per atom.

***

# 5
A plane-wave DFT calculation with meta-GGA SCAN was carried out for a PBEsol-optimized structure of Mn4AlAs.

The structure belongs to space group F-43m (No. 216); the cell edges are 6.635, 6.635 and 6.635 Å and the angles 90.00°, 90.00° and 90.00°. The inequivalent atoms are Mn at (0.125, 0.125, 0.125), Al at (0.000, 0.000, 0.500) and As at (0.250, 0.250, 0.750).

The calculation puts the formation energy from the elements at 3.510 kcal/mol of atoms. For the density of states at the Fermi level, the calculation gives 1.0288 states/eV per atom.

***

# 6
A plane-wave DFT calculation with meta-GGA SCAN was carried out for a PBEsol-optimized structure of Mn2AlP.

The structure belongs to space group Amm2 (No. 38); the cell edges are 4.051, 2.683 and 8.757 Å and the angles 90.00°, 90.00° and 90.00°. The inequivalent atoms are Mn at (0.000, 0.000, 0.000), Mn at (0.500, 0.000, 0.381), Al at (0.500, 0.000, 0.644) and P at (0.000, 0.000, 0.275).

As for the distance to the lowest polymorph of the same formula: 0.0000 eV per atom. The calculation puts the formation energy from the elements at -6.430 kcal/mol of atoms. For the density of states at the Fermi level, the calculation gives 0.3688 states/eV per atom.

***

# 7
A plane-wave DFT calculation with meta-GGA SCAN was carried out for a PBEsol-optimized structure of NaAlTc2C.

The structure belongs to space group P4/mmm (No. 123); the cell edges are 4.512, 4.512 and 4.424 Å and the angles 90.00°, 90.00° and 90.00°. The inequivalent atoms are Na at (0.000, 0.000, 0.000), Al at (0.000, 0.000, 0.500), Tc at (0.000, 0.500, 0.000) and C at (0.500, 0.500, 0.500).

The calculation puts the formation energy from the elements at 77.293 kcal/mol of atoms. For the density of states at the Fermi level, the calculation gives 0.5566 states/eV per atom.

***

# 8
A plane-wave DFT calculation with meta-GGA SCAN was carried out for a PBEsol-optimized structure of CaAcTl2.

The structure belongs to space group Fm-3m (No. 225); the cell edges are 7.905, 7.905 and 7.905 Å and the angles 90.00°, 90.00° and 90.00°. The inequivalent atoms are Ca at (0.000, 0.000, 0.000), Ac at (0.000, 0.000, 0.500) and Tl at (0.250, 0.250, 0.250).

The calculation puts the formation energy from the elements at -14.178 kcal/mol of atoms. For the density of states at the Fermi level, the calculation gives 0.7169 states/eV per atom.